# 1
Ca3Pr4Hg3N2: relaxed, GGA-PBE.

Cell: 5.1302 4.9664 12.8760 Å, 101.12 101.49 90.00°
Last column: nearest neighbours and their distance in Å.
Element x y z (fractional)
1 Ca 0.0023 0.0000 0.0000  2 N 2.53
2 Ca 0.0963 0.5940 0.1880  2 N 2.49
3 Ca 0.9083 0.4060 0.8120  2 N 2.49
4 Pr 0.4095 0.9072 0.8144  2 N 2.58
5 Pr 0.1998 0.1975 0.3950  1 N 2.35
6 Pr 0.8048 0.8025 0.6050  1 N 2.35
7 Pr 0.5951 0.0928 0.1856  2 N 2.58
8 Hg 0.5024 0.5000 0.0000  4 Pr 3.38, 8 Ca 3.46-3.57
9 Hg 0.3270 0.3248 0.6495  3 Pr 3.15-3.21, 2 Ca 3.26
10 Hg 0.6775 0.6752 0.3505  3 Pr 3.15-3.21, 2 Ca 3.26
11 N 0.1047 0.1024 0.2048  3 Pr 2.35-2.58, 3 Ca 2.49-2.53
12 N 0.8999 0.8976 0.7952  3 Pr 2.35-2.58, 3 Ca 2.49-2.53

**Space-group type**: No. 71
**Size of the total moment**: 0.00 μB per formula unit
**E_form (uncorrected)**: -14.9 kcal/mol of atoms

---

# 2
Ga2BPt6: relaxed, GGA-PBE.

Cell: 5.6519 5.6519 9.7660 Å, 90.00 90.00 120.00°
Last column: nearest neighbours and their distance in Å.
Element x y z (fractional)
1 Ga 0.0000 0.0000 0.6354  12 Pt 2.83-2.98
2 Ga 0.0000 0.0000 0.1354  12 Pt 2.83-2.98
3 Ga 0.3333 0.6667 0.8837  12 Pt 2.82-3.06
4 Ga 0.6667 0.3333 0.3837  12 Pt 2.82-3.06
5 B 0.3333 0.6667 0.2483  6 Pt 2.10
6 B 0.6667 0.3333 0.7483  6 Pt 2.10
7 Pt 0.5032 0.0064 0.1168  1 B 2.10
8 Pt 0.4968 0.5032 0.6168  1 B 2.10
9 Pt 0.0064 0.5032 0.6168  1 B 2.10
10 Pt 0.9936 0.4968 0.1168  1 B 2.10
11 Pt 0.5032 0.4968 0.1168  1 B 2.10
12 Pt 0.4968 0.9936 0.6168  1 B 2.10
13 Pt 0.8379 0.6758 0.8774  1 B 2.10
14 Pt 0.1621 0.8379 0.3774  1 B 2.10
15 Pt 0.6758 0.8379 0.3774  1 B 2.10
16 Pt 0.3242 0.1621 0.8774  1 B 2.10
17 Pt 0.8379 0.1621 0.8774  1 B 2.10
18 Pt 0.1621 0.3242 0.3774  1 B 2.10

**Space-group type**: No. 186
**Size of the total moment**: 0.00 μB per formula unit
**Total energy**: -5.8125 eV per atom

---

# 3
CaY3Ti: relaxed, GGA-PBE.

Cell: 5.5336 5.5336 5.5336 Å, 90.00 90.00 90.00°
Last column: nearest neighbours and their distance in Å.
Element x y z (fractional)
1 Y 0.0000 0.5000 0.0000  2 Ti 2.77
2 Y 0.0000 0.0000 0.5000  2 Ti 2.77
3 Y 0.5000 0.0000 0.0000  2 Ti 2.77
4 Ca 0.5000 0.5000 0.5000  12 Y 3.91
5 Ti 0.0000 0.0000 0.0000  6 Y 2.77

**Relative energy among the computed polymorphs**: 0 meV per atom
**Space-group type**: No. 221
**Size of the total moment**: 0.00 μB per formula unit